# 1
! TlAgGe2O, relaxed, DFT PBE; values from VASP
&SYSTEM
  ibrav = 0, nat = 5, ntyp = 4
/
ATOMIC_SPECIES
Tl 204.38 Tl.upf
Ag 107.87 Ag.upf
Ge 72.64 Ge.upf
O 16.00 O.upf
CELL_PARAMETERS angstrom
4.452 0.000 0.000
0.000 4.452 0.000
0.000 0.000 4.973
ATOMIC_POSITIONS crystal
Tl 0.000 0.000 0.000
Ag 0.500 0.500 0.000
Ge 0.000 0.500 0.500
Ge 0.500 0.000 0.500
O 0.500 0.500 0.500
! - crystal system = tetragonal
! - uncorrected formation energy (meV/atom) = 96
! - VASP energy (eV/atom) = -3.786
! - magnetic moment (μB/cell) = 0.0

***

# 2
! CeEr3C, relaxed, DFT PBE; values from VASP
&SYSTEM
  ibrav = 0, nat = 5, ntyp = 3
/
ATOMIC_SPECIES
Ce 140.12 Ce.upf
Er 167.26 Er.upf
C 12.01 C.upf
CELL_PARAMETERS angstrom
4.997 0.000 0.000
0.000 4.997 0.000
0.000 0.000 4.997
ATOMIC_POSITIONS crystal
Ce 0.000 0.000 0.000
Er 0.000 0.500 0.500
Er 0.500 0.000 0.500
Er 0.500 0.500 0.000
C 0.500 0.500 0.500
! - crystal system = cubic
! - formation enthalpy at 0 K (meV/atom) = 57
! - VASP energy (eV/atom) = -5.713
! - magnetic moment (μB/cell) = 1.7

***

The highest magnetic moment belongs to which entry?
CeEr3C

***

Number 2 is which compound?
CeEr3C